## P
A relaxed MgSb2O5 crystal. Source: Alexandria, functional GGA-PBE.

The structure in CIF format:
```
data_MgSb2O5
_chemical_formula_sum 'Mg4 Sb8 O20'
_cell_length_a 4.1338
_cell_length_b 10.3739
_cell_length_c 10.7914
_cell_angle_alpha 90.00
_cell_angle_beta 90.00
_cell_angle_gamma 90.00
_symmetry_space_group_name_H-M 'C m c m'
_symmetry_Int_Tables_number 63
_symmetry_space_group_name_Hall '-C 2c 2'
loop_
_atom_site_label
_atom_site_type_symbol
_atom_site_fract_x
_atom_site_fract_y
_atom_site_fract_z
Mg1 Mg 0.0000 0.1928 0.2500
Sb1 Sb 0.0000 0.1353 0.5710
O1 O 0.0000 0.0550 0.1111
O2 O 0.0000 0.2289 0.7500
O3 O 0.0000 0.3212 0.0791
```

DOS(E_F): 10.68 states/eV/cell
magnetic moment: 0.0 μB per cell
V: 14.46 A^3/atom

=====

## Q
A relaxed MgSb2O5 crystal. Source: Alexandria, functional GGA-PBE.

The structure in CIF format:
```
data_MgSb2O5
_chemical_formula_sum 'Mg2 Sb4 O10'
_cell_length_a 3.3001
_cell_length_b 5.2733
_cell_length_c 12.5414
_cell_angle_alpha 78.33
_cell_angle_beta 89.97
_cell_angle_gamma 89.97
_symmetry_space_group_name_H-M 'P -1'
_symmetry_Int_Tables_number 2
loop_
_symmetry_equiv_pos_as_xyz
'x,y,z'
'-x,-y,-z'
loop_
_atom_site_label
_atom_site_type_symbol
_atom_site_fract_x
_atom_site_fract_y
_atom_site_fract_z
Mg1 Mg 0.2493 0.3068 0.2347
Sb1 Sb 0.2507 0.1727 0.8918
Sb2 Sb 0.2506 0.1954 0.6167
O1 O 0.2494 0.0435 0.3894
O2 O 0.2494 0.6044 0.0988
O3 O 0.2498 0.0965 0.0613
O4 O 0.2503 0.9544 0.7729
O5 O 0.2511 0.4436 0.7378
```

magnetic moment: 0.0 μB per cell
V: 13.36 A^3/atom

=====

What should be chosen as the least stable of them? Choose P.

=====

## P
A relaxed Mg3SbO crystal. Source: Alexandria, functional GGA-PBE.

The structure in CIF format:
```
data_Mg3SbO
_chemical_formula_sum 'Mg3 Sb1 O1'
_cell_length_a 5.3386
_cell_length_b 5.3386
_cell_length_c 5.3386
_cell_angle_alpha 90.00
_cell_angle_beta 90.00
_cell_angle_gamma 90.00
_symmetry_space_group_name_H-M 'P m -3 m'
_symmetry_Int_Tables_number 221
_symmetry_space_group_name_Hall '-P 4 2 3'
loop_
_atom_site_label
_atom_site_type_symbol
_atom_site_fract_x
_atom_site_fract_y
_atom_site_fract_z
Mg1 Mg 0.0000 0.0000 0.5000
Sb1 Sb 0.0000 0.0000 0.0000
O1 O 0.5000 0.5000 0.5000
```

DOS(E_F): 3.72 states/eV/cell
magnetic moment: 0.0 μB per cell
V: 30.43 A^3/atom

=====

## Q
A relaxed Mg3SbO crystal. Source: Alexandria, functional GGA-PBE.

The structure in CIF format:
```
data_Mg3SbO
_chemical_formula_sum 'Mg3 Sb1 O1'
_cell_length_a 4.4390
_cell_length_b 4.4390
_cell_length_c 4.4390
_cell_angle_alpha 90.00
_cell_angle_beta 90.00
_cell_angle_gamma 90.00
_symmetry_space_group_name_H-M 'P m -3 m'
_symmetry_Int_Tables_number 221
_symmetry_space_group_name_Hall '-P 4 2 3'
loop_
_atom_site_label
_atom_site_type_symbol
_atom_site_fract_x
_atom_site_fract_y
_atom_site_fract_z
Mg1 Mg 0.0000 0.0000 0.5000
Sb1 Sb 0.5000 0.5000 0.5000
O1 O 0.0000 0.0000 0.0000
```

DOS(E_F): 1.15 states/eV/cell
magnetic moment: 0.0 μB per cell
V: 17.49 A^3/atom

=====

What should be chosen as the least stable of them? Choose P.

=====

## P
A relaxed Mg2TiSbO6 crystal. Source: Alexandria, functional GGA-PBE.

The structure in CIF format:
```
data_Mg2TiSbO6
_chemical_formula_sum 'Mg4 Ti2 Sb2 O12'
_cell_length_a 5.2564
_cell_length_b 7.7653
_cell_length_c 5.4093
_cell_angle_alpha 90.00
_cell_angle_beta 91.17
_cell_angle_gamma 90.00
_symmetry_space_group_name_H-M 'P 1 21/m 1'
_symmetry_Int_Tables_number 11
loop_
_symmetry_equiv_pos_as_xyz
'x,y,z'
'-x,-y,-z'
'-x,y+1/2,-z'
'x,-y+1/2,z'
loop_
_atom_site_label
_atom_site_type_symbol
_atom_site_fract_x
_atom_site_fract_y
_atom_site_fract_z
Mg1 Mg 0.0052 0.2500 0.0365
Mg2 Mg 0.4912 0.7500 0.4403
Ti1 Ti 0.5000 0.0000 0.0000
Sb1 Sb 0.0000 0.0000 0.5000
O1 O 0.1309 0.2500 0.4214
O2 O 0.1859 0.5704 0.1736
O3 O 0.3378 0.5695 0.6846
O4 O 0.3726 0.2500 0.9266
```

DOS(E_F): 3.07 states/eV/cell
magnetic moment: 0.0 μB per cell
V: 11.04 A^3/atom

=====

## Q
A relaxed Mg2TiSbO6 crystal. Source: Alexandria, functional GGA-PBE.

The structure in CIF format:
```
data_Mg2TiSbO6
_chemical_formula_sum 'Mg2 Ti1 Sb1 O6'
_cell_length_a 5.3701
_cell_length_b 5.3701
_cell_length_c 4.8659
_cell_angle_alpha 90.00
_cell_angle_beta 90.00
_cell_angle_gamma 90.00
_symmetry_space_group_name_H-M 'P 4 m m'
_symmetry_Int_Tables_number 99
loop_
_symmetry_equiv_pos_as_xyz
'x,y,z'
'-y,x,z'
'-x,-y,z'
'y,-x,z'
'-x,y,z'
'y,x,z'
'x,-y,z'
'-y,-x,z'
loop_
_atom_site_label
_atom_site_type_symbol
_atom_site_fract_x
_atom_site_fract_y
_atom_site_fract_z
Mg1 Mg 0.0000 0.5000 0.0000
Ti1 Ti 0.0000 0.0000 0.6753
Sb1 Sb 0.5000 0.5000 0.6541
O1 O 0.0000 0.0000 0.3212
O2 O 0.2442 0.2442 0.8187
O3 O 0.5000 0.5000 0.2540
```

DOS(E_F): 1.62 states/eV/cell
magnetic moment: 0.0 μB per cell
V: 14.03 A^3/atom

=====

What should be chosen as the least stable of them? Choose Q.